# BeSbH (PBE, optimized geometry)
data_BeSbH
_chemical_formula_sum 'Be2 Sb2 H2'
_cell_length_a 4.790
_cell_length_b 4.949
_cell_length_c 4.105
_cell_angle_alpha 90.00
_cell_angle_beta 90.00
_cell_angle_gamma 90.00
_space_group_name_H-M_alt 'P 1'
_space_group_IT_number 1
_space_group_name_Hall 'P 1'
loop_
_atom_site_label
_atom_site_fract_x
_atom_site_fract_y
_atom_site_fract_z
_atom_site_occupancy
H1 0.332 0.500 0.000 1
Be1 0.500 0.373 0.250 1
Sb1 0.209 0.000 0.500 1
Be2 0.500 0.627 0.750 1
Sb2 0.791 0.000 0.000 1
H2 0.668 0.500 0.500 1
# Distance to the lowest polymorph of the same formula = 0.070 eV/atom
# Space-group type = P222_1, No. 17
# Density of states at the Fermi level = 0.2 states/eV/cell

---

# Li6UO6 (PBE, optimized geometry)
data_Li6UO6
_chemical_formula_sum 'Li6 U1 O6'
_cell_length_a 5.484
_cell_length_b 5.484
_cell_length_c 5.484
_cell_angle_alpha 101.04
_cell_angle_beta 101.04
_cell_angle_gamma 101.04
_space_group_name_H-M_alt 'P 1'
_space_group_IT_number 1
_space_group_name_Hall 'P 1'
loop_
_atom_site_label
_atom_site_fract_x
_atom_site_fract_y
_atom_site_fract_z
_atom_site_occupancy
O1 0.100 0.731 0.731 1
O2 0.900 0.269 0.269 1
Li1 0.354 0.646 0.000 1
Li2 0.000 0.646 0.354 1
Li3 0.000 0.354 0.646 1
O3 0.269 0.269 0.900 1
O4 0.269 0.900 0.269 1
Li4 0.646 0.000 0.354 1
U1 0.000 0.000 0.000 1
Li5 0.354 0.000 0.646 1
O5 0.731 0.100 0.731 1
Li6 0.646 0.354 0.000 1
O6 0.731 0.731 0.100 1
# Space-group type = R-3m, No. 166
# Formation energy without anion corrections = -2.41 eV per atom
# Density of states at the Fermi level = 0.0 states/eV/cell

---

# CuAsPb (PBE, optimized geometry)
data_CuAsPb
_chemical_formula_sum 'Cu1 As1 Pb1'
_cell_length_a 4.552
_cell_length_b 4.552
_cell_length_c 4.552
_cell_angle_alpha 60.00
_cell_angle_beta 60.00
_cell_angle_gamma 60.00
_space_group_name_H-M_alt 'P 1'
_space_group_IT_number 1
_space_group_name_Hall 'P 1'
loop_
_atom_site_label
_atom_site_fract_x
_atom_site_fract_y
_atom_site_fract_z
_atom_site_occupancy
Pb1 0.000 0.000 0.000 1
Cu1 0.750 0.750 0.750 1
As1 0.500 0.500 0.500 1
# Distance to the lowest polymorph of the same formula = 0.144 eV/atom
# Space-group type = F-43m, No. 216
# Calculated formation energy = 0.1207 eV/atom
# Density of states at the Fermi level = 1.4 states/eV/cell

---

# Rb2AcSb2O7 (PBE, optimized geometry)
data_Rb2AcSb2O7
_chemical_formula_sum 'Rb2 Ac1 Sb2 O7'
_cell_length_a 4.170
_cell_length_b 4.170
_cell_length_c 11.844
_cell_angle_alpha 79.86
_cell_angle_beta 79.86
_cell_angle_gamma 90.00
_space_group_name_H-M_alt 'P 1'
_space_group_IT_number 1
_space_group_name_Hall 'P 1'
loop_
_atom_site_label
_atom_site_fract_x
_atom_site_fract_y
_atom_site_fract_z
_atom_site_occupancy
Ac1 0.000 0.000 0.000 1
O1 0.500 0.500 0.000 1
O2 0.421 0.921 0.159 1
O3 0.921 0.421 0.159 1
O4 0.321 0.321 0.358 1
Rb1 0.806 0.806 0.388 1
Rb2 0.194 0.194 0.612 1
Sb1 0.405 0.405 0.190 1
O5 0.679 0.679 0.642 1
O6 0.079 0.579 0.841 1
O7 0.579 0.079 0.841 1
Sb2 0.595 0.595 0.810 1
# Space-group type = I4/mmm, No. 139
# Formation energy without anion corrections = -1.92 eV per atom
# Density of states at the Fermi level = 1.9 states/eV/cell

---

# LiFe2Br (PBE, optimized geometry)
data_LiFe2Br
_chemical_formula_sum 'Li1 Fe2 Br1'
_cell_length_a 5.122
_cell_length_b 5.122
_cell_length_c 2.914
_cell_angle_alpha 90.00
_cell_angle_beta 90.00
_cell_angle_gamma 121.80
_space_group_name_H-M_alt 'P 1'
_space_group_IT_number 1
_space_group_name_Hall 'P 1'
loop_
_atom_site_label
_atom_site_fract_x
_atom_site_fract_y
_atom_site_fract_z
_atom_site_occupancy
Li1 0.500 0.000 0.500 1
Fe1 0.000 0.000 0.000 1
Br1 0.000 0.500 0.500 1
Fe2 0.500 0.500 0.000 1
# Distance to the lowest polymorph of the same formula = 0.566 eV/atom
# Space-group type = Cmmm, No. 65
# Formation energy without anion corrections = 0.58 eV per atom
# Density of states at the Fermi level = 3.9 states/eV/cell

---

# AcPmDy2Y5 (PBE, optimized geometry)
data_AcPmDy2Y5
_chemical_formula_sum 'Ac2 Pm2 Dy4 Y10'
_cell_length_a 5.592
_cell_length_b 12.240
_cell_length_c 9.408
_cell_angle_alpha 90.00
_cell_angle_beta 90.00
_cell_angle_gamma 103.21
_space_group_name_H-M_alt 'P 1'
_space_group_IT_number 1
_space_group_name_Hall 'P 1'
loop_
_atom_site_label
_atom_site_fract_x
_atom_site_fract_y
_atom_site_fract_z
_atom_site_occupancy
Dy1 0.168 0.337 0.676 1
Y1 0.475 0.951 0.749 1
Y2 0.258 0.515 0.364 1
Ac1 0.602 0.205 0.929 1
Y3 0.993 0.986 0.022 1
Y4 0.603 0.206 0.532 1
Pm1 0.238 0.477 0.037 1
Y5 0.690 0.381 0.229 1
Pm2 0.762 0.523 0.537 1
Dy2 0.832 0.663 0.176 1
Y6 0.397 0.794 0.032 1
Y7 0.310 0.619 0.729 1
Y8 0.007 0.014 0.522 1
Ac2 0.398 0.795 0.429 1
Y9 0.742 0.485 0.864 1
Dy3 0.113 0.226 0.286 1
Y10 0.525 0.049 0.249 1
Dy4 0.887 0.774 0.786 1
# Space-group type = Cmc2_1, No. 36
# Calculated formation energy = 0.1579 eV/atom
# Density of states at the Fermi level = 24.9 states/eV/cell

---

Please write out number 3 again, unchanged.
# CuAsPb (PBE, optimized geometry)
data_CuAsPb
_chemical_formula_sum 'Cu1 As1 Pb1'
_cell_length_a 4.552
_cell_length_b 4.552
_cell_length_c 4.552
_cell_angle_alpha 60.00
_cell_angle_beta 60.00
_cell_angle_gamma 60.00
_space_group_name_H-M_alt 'P 1'
_space_group_IT_number 1
_space_group_name_Hall 'P 1'
loop_
_atom_site_label
_atom_site_fract_x
_atom_site_fract_y
_atom_site_fract_z
_atom_site_occupancy
Pb1 0.000 0.000 0.000 1
Cu1 0.750 0.750 0.750 1
As1 0.500 0.500 0.500 1
# Distance to the lowest polymorph of the same formula = 0.144 eV/atom
# Space-group type = F-43m, No. 216
# Calculated formation energy = 0.1207 eV/atom
# Density of states at the Fermi level = 1.4 states/eV/cell